Entry from Alexandria: HfReNi3 after structural relaxation (GGA-PBE).

```
5
Lattice="4.3697 0.0000 0.0000 0.0000 4.3697 0.0000 0.0000 0.0000 4.3697" Properties=species:S:1:pos:R:3 pbc="T T T"
Re 2.1848 2.1848 2.1848
Hf 0.0000 0.0000 0.0000
Ni 0.0000 2.1848 0.0000
Ni 0.0000 0.0000 2.1848
Ni 2.1848 0.0000 0.0000
```

Output
Size of the total moment (μB/atom): 0.0001
Density of states at the Fermi level (states/eV/cell): 3.289
Energy relative to the lowest polymorph listed for this composition (meV/atom): 689
ΔE_f (eV per atom): 1.64

---

Entry from Alexandria: HfTlNiS3 after structural relaxation (GGA-PBE).

```
12
Lattice="3.6795 0.0000 0.0000 0.0000 8.6797 -0.6553 0.0000 -2.9594 8.6025" Properties=species:S:1:pos:R:3 pbc="T T T"
Hf 0.9199 5.4916 0.9429
Hf 2.7596 0.2287 7.0043
Tl 0.9199 1.1576 1.9664
Tl 2.7596 4.5627 5.9808
Ni 0.9199 -0.9922 5.0531
Ni 2.7596 6.7125 2.8940
S 2.7596 7.2045 0.6172
S 0.9199 -1.4841 7.3300
S 0.9199 5.5855 3.4723
S 2.7596 0.1348 4.4749
S 2.7596 3.6583 0.9902
S 0.9199 2.0620 6.9570
```

Output
Size of the total moment (μB/atom): 0.0001
Formation energy without anion corrections (meV per atom): -991.2
Density of states at the Fermi level (states/eV/cell): 6.437

---

Entry from Alexandria: YPu2NpN4 after structural relaxation (GGA-PBE).

```
8
Lattice="3.4645 0.0000 0.0000 0.0000 5.9948 0.0864 0.0000 -2.1124 5.6392" Properties=species:S:1:pos:R:3 pbc="T T T"
Y 0.0000 0.0000 0.0000
Pu 1.7323 -1.0562 2.8196
Pu 0.0000 1.9412 2.8628
Np 1.7323 2.9974 0.0432
N 1.7323 1.0630 1.4053
N 1.7323 2.8193 4.3202
N 0.0000 -0.0651 4.3122
N 0.0000 3.9474 1.4134
```

Output
Size of the total moment (μB/atom): 0.3726
Formation energy without anion corrections (meV per atom): -1284.8
Density of states at the Fermi level (states/eV/cell): 15.695

---

Entry from Alexandria: HfNbAl2In after structural relaxation (GGA-PBE).

```
5
Lattice="4.8437 0.0000 0.0000 0.0000 5.1716 0.0000 0.0000 0.0000 4.8437" Properties=species:S:1:pos:R:3 pbc="T T T"
Nb 0.0000 0.0000 0.0000
Hf 2.4218 2.5858 2.4218
Al 0.0000 0.0000 2.4218
Al 2.4218 0.0000 0.0000
In 0.0000 2.5858 0.0000
```

Output
Size of the total moment (μB/atom): 0.0000
Density of states at the Fermi level (states/eV/cell): 5.117
ΔE_f (eV per atom): 0.87

---

Entry from Alexandria: FeB3N after structural relaxation (GGA-PBE).

```
5
Lattice="3.3134 0.0000 0.0000 0.0000 3.3134 0.0000 0.0000 0.0000 3.3134" Properties=species:S:1:pos:R:3 pbc="T T T"
B 0.0000 1.6567 0.0000
B 0.0000 0.0000 1.6567
B 1.6567 0.0000 0.0000
Fe 1.6567 1.6567 1.6567
N 0.0000 0.0000 0.0000
```

Output
Size of the total moment (μB/atom): 0.0004
Formation energy without anion corrections (meV per atom): 1488.9
Density of states at the Fermi level (states/eV/cell): 3.718
Energy relative to the lowest polymorph listed for this composition (meV/atom): 0

---

Entry from Alexandria: CaReN2 after structural relaxation (GGA-PBE).

```
8
Lattice="4.6994 -0.1017 -2.0305 -2.6421 4.2566 -1.0579 -0.0631 0.1017 5.1190" Properties=species:S:1:pos:R:3 pbc="T T T"
Ca 1.6418 1.0896 2.5595
Ca 0.3524 3.1670 -0.5289
Re -1.3526 2.1792 2.0305
Re 0.0000 0.0000 0.0000
N 1.6734 1.0387 0.0000
N 3.9915 1.0387 1.5442
N 0.3208 3.2178 2.0306
N -1.9974 3.2179 0.4863
```

Output
Size of the total moment (μB/atom): 0.0000
Formation energy without anion corrections (meV per atom): -643.1
Density of states at the Fermi level (states/eV/cell): 3.558
Energy relative to the lowest polymorph listed for this composition (meV/atom): 0